Record 1
Computed, not measured: a geometry-optimized MgSc2Re structure at the PBE-GGA level of DFT.

a b c (Å): 2.924 2.924 9.335
angles (deg): 90.00 90.00 90.00
Sites, in units of the cell vectors:
Mg1 0.000 0.000 0.000
Sc1 0.000 0.000 0.436
Sc2 0.500 0.500 0.727
Re1 0.500 0.500 0.218

formation energy = 0.246 eV/atom
total energy = -6.430 eV per atom

***

Record 2
Computed, not measured: a geometry-optimized TiCdSeO5 structure at the PBE-GGA level of DFT.

a b c (Å): 5.689 5.689 7.684
angles (deg): 108.03 108.03 98.27
Sites, in units of the cell vectors:
Ti1 0.000 0.500 0.000
Ti2 0.500 0.000 0.500
Cd1 0.066 0.934 0.750
Cd2 0.934 0.066 0.250
Se1 0.445 0.555 0.750
Se2 0.555 0.445 0.250
O1 0.192 0.243 0.037
O2 0.231 0.627 0.867
O3 0.243 0.192 0.537
O4 0.245 0.755 0.250
O5 0.373 0.769 0.633
O6 0.627 0.231 0.367
O7 0.755 0.245 0.750
O8 0.757 0.808 0.463
O9 0.769 0.373 0.133
O10 0.808 0.757 0.963

energy relative to the elements, uncorrected = -1.5612 eV per atom
total energy = -6.197 eV per atom

***

Record 3
Computed, not measured: a geometry-optimized Ta7W5 structure at the PBE-GGA level of DFT.

a b c (Å): 10.331 10.331 3.238
angles (deg): 90.00 90.00 143.23
Sites, in units of the cell vectors:
Ta1 0.000 0.000 0.000
Ta2 0.169 0.831 0.000
Ta3 0.174 0.342 0.500
Ta4 0.342 0.174 0.500
Ta5 0.658 0.826 0.500
Ta6 0.826 0.658 0.500
Ta7 0.831 0.169 0.000
W1 0.000 0.500 0.500
W2 0.330 0.670 0.000
W3 0.500 0.000 0.500
W4 0.500 0.500 0.000
W5 0.670 0.330 0.000

formation energy = -0.069 eV/atom
total energy = -12.380 eV per atom

***

Record 4
Computed, not measured: a geometry-optimized CsGeP structure at the PBE-GGA level of DFT.

a b c (Å): 5.562 5.562 9.776
angles (deg): 90.00 90.00 90.00
Sites, in units of the cell vectors:
Cs1 0.000 0.000 0.000
Cs2 0.500 0.500 0.500
Ge1 0.000 0.000 0.390
Ge2 0.500 0.500 0.890
P1 0.000 0.000 0.604
P2 0.500 0.500 0.104

formation energy = 0.014 eV/atom
total energy = -3.613 eV per atom
ΔE to the lowest computed polymorph = 273.0 meV per atom

***

Record 5
Computed, not measured: a geometry-optimized LaTbPrEr structure at the PBE-GGA level of DFT.

a b c (Å): 5.148 5.148 10.272
angles (deg): 90.00 90.00 90.00
Sites, in units of the cell vectors:
La1 0.000 0.000 0.000
La2 0.500 0.500 0.500
Tb1 0.000 0.000 0.500
Tb2 0.500 0.500 0.000
Pr1 0.000 0.500 0.250
Pr2 0.500 0.000 0.750
Er1 0.000 0.500 0.750
Er2 0.500 0.000 0.250

formation energy = 0.029 eV/atom
total energy = -4.696 eV per atom
ΔE to the lowest computed polymorph = 0.0 meV per atom

***

Record 6
Computed, not measured: a geometry-optimized CaOs2Se structure at the PBE-GGA level of DFT.

a b c (Å): 2.954 4.707 5.368
angles (deg): 90.00 90.00 90.00
Sites, in units of the cell vectors:
Ca1 0.000 0.000 0.000
Os1 0.500 0.500 0.217
Os2 0.500 0.500 0.783
Se1 0.000 0.000 0.500

energy relative to the elements, uncorrected = 0.7542 eV per atom
total energy = -6.232 eV per atom